(1)
First-principles (PBE) data for a relaxed structure of LaTb5Tl6, as listed in Alexandria.

Unit cell a=7.5309 b=7.5309 c=6.6897 alpha=98.27 beta=98.27 gamma=98.51
With the nearest neighbours (Å) after each atom.
Fractional positions:
La (0.0000, 0.0000, 0.0000)  6 Tl 3.34
Tb (0.1657, 0.8343, 0.5000)  6 Tl 3.19-3.27
Tb (0.3365, 0.6635, 0.0000)  6 Tl 3.26-3.27
Tb (0.5000, 0.5000, 0.5000)  6 Tl 3.18-3.27
Tb (0.6635, 0.3365, 0.0000)  6 Tl 3.26-3.27
Tb (0.8343, 0.1657, 0.5000)  6 Tl 3.19-3.27
Tl (0.0799, 0.4267, 0.2554)  5 Tb 3.19-3.27, 1 La 3.34
Tl (0.2523, 0.2523, 0.7364)  5 Tb 3.18-3.26, 1 La 3.34
Tl (0.4267, 0.0799, 0.2554)  5 Tb 3.19-3.27, 1 La 3.34
Tl (0.5733, 0.9201, 0.7446)  5 Tb 3.19-3.27, 1 La 3.34
Tl (0.7477, 0.7477, 0.2636)  5 Tb 3.18-3.26, 1 La 3.34
Tl (0.9201, 0.5733, 0.7446)  5 Tb 3.19-3.27, 1 La 3.34

Properties
Size of the total moment ... 0.00 μB per atom
E ... -45.4 eV per cell
Symmetry ... No. 12
ρ ... 9.80 g cm⁻³


(2)
First-principles (PBE) data for a relaxed structure of Ho2Zn5Au5, as listed in Alexandria.

Unit cell a=4.5462 b=5.2526 c=9.4010 alpha=90.00 beta=90.00 gamma=90.00
With the nearest neighbours (Å) after each atom.
Fractional positions:
Ho (0.0000, 0.0000, 0.0000)  10 Au 3.12-3.47
Ho (0.0000, 0.5000, 0.5000)  6 Au 3.01-3.05
Zn (0.5000, 0.0000, 0.5000)  4 Zn 2.66, 4 Au 2.75
Zn (0.5000, 0.2499, 0.2536)  3 Zn 2.63-2.66, 5 Au 2.72-2.73
Zn (0.5000, 0.2499, 0.7464)  3 Zn 2.63-2.66, 5 Au 2.72-2.73
Zn (0.5000, 0.7501, 0.2536)  3 Zn 2.63-2.66, 5 Au 2.72-2.73
Zn (0.5000, 0.7501, 0.7464)  3 Zn 2.63-2.66, 5 Au 2.72-2.73
Au (0.0000, 0.0000, 0.3346)  6 Zn 2.73-2.75, 2 Au 3.00, 2 Ho 3.05
Au (0.0000, 0.0000, 0.6654)  6 Zn 2.73-2.75, 2 Au 3.00, 2 Ho 3.05
Au (0.0000, 0.5000, 0.1797)  4 Zn 2.72, 4 Au 2.83-3.00, 1 Ho 3.01
Au (0.0000, 0.5000, 0.8203)  4 Zn 2.72, 4 Au 2.83-3.00, 1 Ho 3.01
Au (0.5000, 0.5000, 0.0000)  4 Zn 2.72, 4 Au 2.83

Properties
Size of the total moment ... 0.00 μB per atom
E ... -37.6 eV per cell
Symmetry ... No. 47
ρ ... 12.14 g cm⁻³


(3)
First-principles (PBE) data for a relaxed structure of Zn2CrCu, as listed in Alexandria.

Unit cell a=3.8347 b=3.8347 c=3.7661 alpha=90.00 beta=90.00 gamma=90.00
With the nearest neighbours (Å) after each atom.
Fractional positions:
Zn (0.0000, 0.5000, 0.0000)  4 Cr 2.69, 4 Cu 2.69, 4 Zn 2.71
Zn (0.5000, 0.0000, 0.0000)  4 Cr 2.69, 4 Cu 2.69, 4 Zn 2.71
Cr (0.0000, 0.0000, 0.5000)  8 Zn 2.69, 4 Cu 2.71
Cu (0.5000, 0.5000, 0.5000)  8 Zn 2.69, 4 Cr 2.71

Properties
Size of the total moment ... 0.78 μB per atom
E ... -15.8 eV per cell
Symmetry ... No. 123
ρ ... 7.39 g cm⁻³


Energy of formation from the pure elements across the listed records, respectively: -0.2574; -0.4741; 0.1119 eV per atom.